Record 1
VASP calculation (PBEsol) on crystalline SrCuHg at its relaxed geometry.

```
SrCuHg
1.0
3.624 0.048 0.000
-0.047 3.624 0.000
-1.789 -1.836 5.261
Cu Hg Sr
1 1 1
direct
0.032 0.032 0.063 Cu
0.634 0.634 0.269 Hg
0.334 0.334 0.668 Sr
```

SG = I4mm (107)
formation enthalpy at 0 K = -0.153 eV per atom
theoretical density = 8.5 g cm⁻³
calculated volume = 69 Å³/f.u.

Record 2
VASP calculation (PBEsol) on crystalline SiGe2OsBr at its relaxed geometry.

```
SiGe2OsBr
1.0
-0.042 4.089 -2.218
-0.758 -2.195 -4.031
-5.341 0.378 0.798
Si Ge Br Os
1 2 1 1
direct
0.500 0.500 0.500 Si
0.000 0.500 0.000 Ge
0.500 0.000 0.000 Ge
0.000 0.000 0.500 Br
0.000 0.000 0.000 Os
```

SG = P4/mmm (123)
formation energy (no corrections) = 833 meV per atom
theoretical density = 6.3 g cm⁻³
calculated volume = 117 Å³/f.u.

Record 3
VASP calculation (PBEsol) on crystalline MgTlPb2 at its relaxed geometry.

```
MgTlPb2
1.0
4.756 0.000 0.000
0.000 4.756 0.000
0.000 0.000 4.843
Mg Pb Tl
1 2 1
direct
0.000 0.000 0.500 Mg
0.500 0.000 0.000 Pb
0.000 0.500 0.000 Pb
0.500 0.500 0.500 Tl
```

SG = P4/mmm (123)
formation enthalpy at 0 K = -0.017 eV per atom
theoretical density = 9.7 g cm⁻³
calculated volume = 110 Å³/f.u.

Record 4
VASP calculation (PBEsol) on crystalline Al2Sb at its relaxed geometry.

```
Al2Sb
1.0
-3.357 -2.901 3.363
3.579 -2.824 -3.472
4.422 -2.578 2.191
Al Sb
4 2
direct
0.677 0.000 0.823 Al
0.177 0.000 0.677 Al
0.823 0.000 0.323 Al
0.323 0.000 0.177 Al
0.250 0.500 0.750 Sb
0.750 0.500 0.250 Sb
```

SG = I4/mcm (140)
formation energy (no corrections) = 115 meV per atom
theoretical density = 4.5 g cm⁻³
calculated volume = 65 Å³/f.u.

Record 5
VASP calculation (PBEsol) on crystalline CaMoSe2 at its relaxed geometry.

```
CaMoSe2
1.0
3.374 0.000 0.000
0.000 3.556 0.000
-1.687 -1.778 6.548
Ca Mo Se
1 1 2
direct
0.546 0.546 0.092 Ca
0.297 0.797 0.593 Mo
0.940 0.940 0.880 Se
0.717 0.217 0.434 Se
```

SG = Imm2 (44)
formation energy (no corrections) = -744 meV per atom
ΔE to the lowest computed polymorph = 0.0 meV/atom
theoretical density = 6.2 g cm⁻³
calculated volume = 79 Å³/f.u.

Record 6
VASP calculation (PBEsol) on crystalline NaLi3Ni at its relaxed geometry.

```
NaLi3Ni
1.0
-1.642 -2.874 -3.308
3.903 -2.565 0.291
-1.992 -2.657 3.297
Li Na Ni
3 1 1
direct
0.000 0.000 0.500 Li
0.000 0.500 0.000 Li
0.500 0.000 0.000 Li
0.500 0.500 0.500 Na
0.000 0.000 0.000 Ni
```

SG = Pm-3m (221)
formation enthalpy at 0 K = 0.271 eV per atom
theoretical density = 1.7 g cm⁻³
calculated volume = 102 Å³/f.u.